No. 1
Below is crystalline AlVSe3 at its relaxed geometry, with properties calculated at the PBE level.

```
data_AlVSe3
_chemical_formula_sum 'Al4 V4 Se12'
_space_group_name_H-M_alt 'C m c 21'
_space_group_IT_number 36
_cell_length_a 3.6226
_cell_length_b 19.2687
_cell_length_c 6.5717
_cell_angle_alpha 90.00
_cell_angle_beta 90.00
_cell_angle_gamma 90.00
loop_
_space_group_symop_operation_xyz
'x,y,z'
'-x,-y,z+1/2'
'-x,y,z'
'x,-y,z+1/2'
'x+1/2,y+1/2,z'
'-x+1/2,-y+1/2,z+1/2'
'-x+1/2,y+1/2,z'
'x+1/2,-y+1/2,z+1/2'
loop_
_atom_site_label
_atom_site_type_symbol
_atom_site_fract_x
_atom_site_fract_y
_atom_site_fract_z
Al1 Al 0.0000 0.1519 0.0000
V1 V 0.0000 0.3270 0.9938
Se1 Se 0.0000 0.0981 0.3362
Se2 Se 0.0000 0.2545 0.6558
Se3 Se 0.0000 0.4032 0.3113
```

Results
- Excess energy over the best structure of this formula in the dataset: 0.0000 eV per atom
- Size of the total moment: 2.00 μB/f.u.
- Raw total energy: -107.00 eV per cell
- Uncorrected formation energy: -0.69 eV per atom

No. 2
Below is crystalline AlVSe2 at its relaxed geometry, with properties calculated at the PBE level.

```
data_AlVSe2
_chemical_formula_sum 'Al3 V3 Se6'
_space_group_name_H-M_alt 'R -3 m'
_space_group_IT_number 166
_space_group_name_Hall '-R 3 2"'
_cell_length_a 3.2560
_cell_length_b 3.2560
_cell_length_c 25.6329
_cell_angle_alpha 90.00
_cell_angle_beta 90.00
_cell_angle_gamma 120.00
loop_
_atom_site_label
_atom_site_type_symbol
_atom_site_fract_x
_atom_site_fract_y
_atom_site_fract_z
Al1 Al 0.0000 0.0000 0.0000
V1 V 0.0000 0.0000 0.5000
Se1 Se 0.0000 0.0000 0.1040
```

Results
- Size of the total moment: 0.01 μB/f.u.
- Raw total energy: -64.21 eV per cell
- Uncorrected formation energy: -0.39 eV per atom

No. 3
Below is crystalline AlVSe3 at its relaxed geometry, with properties calculated at the PBE level.

```
data_AlVSe3
_chemical_formula_sum 'Al1 V1 Se3'
_space_group_name_H-M_alt 'P m -3 m'
_space_group_IT_number 221
_space_group_name_Hall '-P 4 2 3'
_cell_length_a 4.8498
_cell_length_b 4.8498
_cell_length_c 4.8498
_cell_angle_alpha 90.00
_cell_angle_beta 90.00
_cell_angle_gamma 90.00
loop_
_atom_site_label
_atom_site_type_symbol
_atom_site_fract_x
_atom_site_fract_y
_atom_site_fract_z
Al1 Al 0.0000 0.0000 0.0000
V1 V 0.5000 0.5000 0.5000
Se1 Se 0.0000 0.0000 0.5000
```

Results
- Excess energy over the best structure of this formula in the dataset: 0.9112 eV per atom
- Size of the total moment: 2.40 μB/f.u.
- Raw total energy: -22.19 eV per cell
- Uncorrected formation energy: 0.22 eV per atom

No. 4
Below is crystalline AlVSe3 at its relaxed geometry, with properties calculated at the PBE level.

```
data_AlVSe3
_chemical_formula_sum 'Al1 V1 Se3'
_space_group_name_H-M_alt 'P m -3 m'
_space_group_IT_number 221
_space_group_name_Hall '-P 4 2 3'
_cell_length_a 4.8684
_cell_length_b 4.8684
_cell_length_c 4.8684
_cell_angle_alpha 90.00
_cell_angle_beta 90.00
_cell_angle_gamma 90.00
loop_
_atom_site_label
_atom_site_type_symbol
_atom_site_fract_x
_atom_site_fract_y
_atom_site_fract_z
Al1 Al 0.0000 0.0000 0.0000
V1 V 0.5000 0.5000 0.5000
Se1 Se 0.0000 0.5000 0.5000
```

Results
- Excess energy over the best structure of this formula in the dataset: 0.6653 eV per atom
- Size of the total moment: 0.45 μB/f.u.
- Raw total energy: -23.42 eV per cell
- Uncorrected formation energy: -0.02 eV per atom

No. 5
Below is crystalline Al3VSe at its relaxed geometry, with properties calculated at the PBE level.

```
data_Al3VSe
_chemical_formula_sum 'Al3 V1 Se1'
_space_group_name_H-M_alt 'P m -3 m'
_space_group_IT_number 221
_space_group_name_Hall '-P 4 2 3'
_cell_length_a 4.9085
_cell_length_b 4.9085
_cell_length_c 4.9085
_cell_angle_alpha 90.00
_cell_angle_beta 90.00
_cell_angle_gamma 90.00
loop_
_atom_site_label
_atom_site_type_symbol
_atom_site_fract_x
_atom_site_fract_y
_atom_site_fract_z
Al1 Al 0.0000 0.0000 0.5000
V1 V 0.5000 0.5000 0.5000
Se1 Se 0.0000 0.0000 0.0000
```

Results
- Excess energy over the best structure of this formula in the dataset: 0.1952 eV per atom
- Size of the total moment: 3.48 μB/f.u.
- Raw total energy: -19.04 eV per cell
- Uncorrected formation energy: 0.96 eV per atom

No. 6
Below is crystalline Al3VSe at its relaxed geometry, with properties calculated at the PBE level.

```
data_Al3VSe
_chemical_formula_sum 'Al3 V1 Se1'
_space_group_name_H-M_alt 'P m -3 m'
_space_group_IT_number 221
_space_group_name_Hall '-P 4 2 3'
_cell_length_a 4.9666
_cell_length_b 4.9666
_cell_length_c 4.9666
_cell_angle_alpha 90.00
_cell_angle_beta 90.00
_cell_angle_gamma 90.00
loop_
_atom_site_label
_atom_site_type_symbol
_atom_site_fract_x
_atom_site_fract_y
_atom_site_fract_z
Al1 Al 0.0000 0.0000 0.5000
V1 V 0.0000 0.0000 0.0000
Se1 Se 0.5000 0.5000 0.5000
```

Results
- Excess energy over the best structure of this formula in the dataset: 0.0000 eV per atom
- Size of the total moment: 4.47 μB/f.u.
- Raw total energy: -20.02 eV per cell
- Uncorrected formation energy: 0.76 eV per atom

No. 7
Below is crystalline AlV2Se6 at its relaxed geometry, with properties calculated at the PBE level.

```
data_AlV2Se6
_chemical_formula_sum 'Al2 V4 Se12'
_space_group_name_H-M_alt 'P 42/m n m'
_space_group_IT_number 136
_space_group_name_Hall '-P 4n 2n'
_cell_length_a 6.0195
_cell_length_b 6.0195
_cell_length_c 10.7983
_cell_angle_alpha 90.00
_cell_angle_beta 90.00
_cell_angle_gamma 90.00
loop_
_atom_site_label
_atom_site_type_symbol
_atom_site_fract_x
_atom_site_fract_y
_atom_site_fract_z
Al1 Al 0.0000 0.0000 0.0000
V1 V 0.0000 0.0000 0.3439
Se1 Se 0.1964 0.1964 0.1718
Se2 Se 0.2033 0.2033 0.5000
```

Results
- Size of the total moment: 1.47 μB/f.u.
- Raw total energy: -94.96 eV per cell
- Uncorrected formation energy: -0.51 eV per atom

No. 8
Below is crystalline AlV3Se at its relaxed geometry, with properties calculated at the PBE level.

```
data_AlV3Se
_chemical_formula_sum 'Al1 V3 Se1'
_space_group_name_H-M_alt 'P m -3 m'
_space_group_IT_number 221
_space_group_name_Hall '-P 4 2 3'
_cell_length_a 4.4801
_cell_length_b 4.4801
_cell_length_c 4.4801
_cell_angle_alpha 90.00
_cell_angle_beta 90.00
_cell_angle_gamma 90.00
loop_
_atom_site_label
_atom_site_type_symbol
_atom_site_fract_x
_atom_site_fract_y
_atom_site_fract_z
Al1 Al 0.0000 0.0000 0.0000
V1 V 0.0000 0.5000 0.5000
Se1 Se 0.5000 0.5000 0.5000
```

Results
- Excess energy over the best structure of this formula in the dataset: 0.0000 eV per atom
- Size of the total moment: 2.67 μB/f.u.
- Raw total energy: -31.97 eV per cell
- Uncorrected formation energy: 0.52 eV per atom